(1)
DFT (GGA-PBE) results for crystalline Cs3TlZn at its relaxed geometry.

Cell lengths 7.1100, 7.1100, 7.1100 Å; angles 90.00, 90.00, 90.00 degrees
Positions (direct):
Cs (0.0000, 0.5000, 0.0000)
Cs (0.0000, 0.0000, 0.5000)
Cs (0.5000, 0.0000, 0.0000)
Tl (0.5000, 0.5000, 0.5000)
Zn (0.0000, 0.0000, 0.0000)

ΔE_f (eV per atom): 0.23
DOS at the Fermi energy (states/eV per atom): 0.54



(2)
DFT (GGA-PBE) results for crystalline CsTlZn at its relaxed geometry.

Cell lengths 8.5113, 7.4607, 7.4638 Å; angles 90.00, 90.00, 90.00 degrees
Positions (direct):
Tl (0.0005, 0.7501, 0.8012)
Tl (0.0005, 0.2499, 0.8012)
Tl (0.9995, 0.2499, 0.3012)
Tl (0.9995, 0.7501, 0.3012)
Zn (0.8388, 0.5000, 0.0509)
Zn (0.1612, 0.5000, 0.5509)
Zn (0.8386, 0.0000, 0.5511)
Zn (0.1614, 0.0000, 0.0511)
Cs (0.3494, 0.5000, 0.0525)
Cs (0.6506, 0.5000, 0.5525)
Cs (0.3495, 0.0000, 0.5505)
Cs (0.6505, 0.0000, 0.0505)

Distance to the lowest polymorph of the same formula (meV/atom): 0
ΔE_f (eV per atom): 0.02
DOS at the Fermi energy (states/eV per atom): 0.41



(3)
DFT (GGA-PBE) results for crystalline CsTl2Zn2 at its relaxed geometry.

Cell lengths 5.0273, 5.0273, 7.1305 Å; angles 69.36, 69.36, 90.00 degrees
Positions (direct):
Cs (0.0000, 0.0000, 0.0000)
Tl (0.7500, 0.2500, 0.5000)
Tl (0.2500, 0.7500, 0.5000)
Zn (0.3878, 0.3878, 0.2243)
Zn (0.6122, 0.6122, 0.7757)

Distance to the lowest polymorph of the same formula (meV/atom): 2
ΔE_f (eV per atom): 0.06
DOS at the Fermi energy (states/eV per atom): 0.67



(4)
DFT (GGA-PBE) results for crystalline CsTl2Zn2 at its relaxed geometry.

Cell lengths 5.0565, 5.0565, 7.3452 Å; angles 69.87, 69.87, 90.00 degrees
Positions (direct):
Cs (0.0000, 0.0000, 0.0000)
Tl (0.3548, 0.3548, 0.2903)
Tl (0.6452, 0.6452, 0.7097)
Zn (0.7500, 0.2500, 0.5000)
Zn (0.2500, 0.7500, 0.5000)

Distance to the lowest polymorph of the same formula (meV/atom): 0
ΔE_f (eV per atom): 0.06
DOS at the Fermi energy (states/eV per atom): 0.76